{
  "formula": "ZrTc2",
  "functional": "PBE-GGA",
  "state": "optimized geometry",
  "lattice_angstrom": [[5.258, 0.000, 0.000], [-2.629, 4.553, 0.000], [0.000, 0.000, 17.340]],
  "species": ["Zr", "Zr", "Zr", "Zr", "Zr", "Zr", "Zr", "Zr", "Tc", "Tc", "Tc", "Tc", "Tc", "Tc", "Tc", "Tc", "Tc", "Tc", "Tc", "Tc", "Tc", "Tc", "Tc", "Tc"],
  "fractional_positions": [[0.000, 0.000, 0.093], [0.000, 0.000, 0.407], [0.000, 0.000, 0.593], [0.000, 0.000, 0.907], [0.333, 0.667, 0.155], [0.333, 0.667, 0.345], [0.667, 0.333, 0.655], [0.667, 0.333, 0.845], [0.000, 0.500, 0.000], [0.000, 0.500, 0.500], [0.161, 0.322, 0.750], [0.161, 0.839, 0.750], [0.322, 0.161, 0.250], [0.333, 0.667, 0.627], [0.333, 0.667, 0.873], [0.500, 0.000, 0.000], [0.500, 0.000, 0.500], [0.500, 0.500, 0.000], [0.500, 0.500, 0.500], [0.667, 0.333, 0.127], [0.667, 0.333, 0.373], [0.678, 0.839, 0.750], [0.839, 0.161, 0.250], [0.839, 0.678, 0.250]],
  "ef_ev_per_atom": -0.31,
  "spacegroup": "P6_3/mmc (194)",
  "polymorph_energy_ev_per_fu": 0.02
}